Material: ScTlRu4
Method: DFT, PBE-GGA
State: optimized geometry

Values from the calculation:
ΔH_f (0 K) = 0.114 eV per atom
magnetic moment = 0.005 μB/cell
calculated volume = 101 Å³/cell

Cell: 5.220 5.220 5.220 Å, 60.00 60.00 60.00°
Sites, in units of the cell vectors:
Sc1 0.000 0.000 0.000
Tl1 0.750 0.750 0.750
Ru1 0.375 0.375 0.375
Ru2 0.375 0.375 0.874
Ru3 0.375 0.874 0.375
Ru4 0.874 0.375 0.375

=====

Material: Sc2TlRu
Method: DFT, PBE-GGA
State: optimized geometry

Values from the calculation:
ΔH_f (0 K) = -0.079 eV per atom
magnetic moment = 0.000 μB/cell
calculated volume = 279 Å³/cell

Cell: 3.294 3.294 29.646 Å, 90.00 90.00 120.00°
Sites, in units of the cell vectors:
Sc1 0.000 0.000 0.104
Sc2 0.000 0.000 0.896
Sc3 0.333 0.667 0.562
Sc4 0.333 0.667 0.771
Sc5 0.667 0.333 0.229
Sc6 0.667 0.333 0.438
Tl1 0.000 0.000 0.000
Tl2 0.333 0.667 0.667
Tl3 0.667 0.333 0.333
Ru1 0.000 0.000 0.500
Ru2 0.333 0.667 0.167
Ru3 0.667 0.333 0.833

=====

Material: Sc2TlRu
Method: DFT, PBE-GGA
State: optimized geometry

Values from the calculation:
ΔH_f (0 K) = -0.031 eV per atom
magnetic moment = 0.000 μB/cell
calculated volume = 345 Å³/cell

Cell: 7.712 7.712 5.805 Å, 90.00 90.00 90.00°
Sites, in units of the cell vectors:
Sc1 0.190 0.250 0.125
Sc2 0.250 0.690 0.375
Sc3 0.250 0.810 0.875
Sc4 0.310 0.250 0.625
Sc5 0.690 0.750 0.625
Sc6 0.750 0.190 0.875
Sc7 0.750 0.310 0.375
Sc8 0.810 0.750 0.125
Tl1 0.000 0.000 0.500
Tl2 0.000 0.500 0.750
Tl3 0.500 0.000 0.250
Tl4 0.500 0.500 0.000
Ru1 0.000 0.000 0.000
Ru2 0.000 0.500 0.250
Ru3 0.500 0.000 0.750
Ru4 0.500 0.500 0.500

=====

Material: Sc2TlRu
Method: DFT, PBE-GGA
State: optimized geometry

Values from the calculation:
ΔH_f (0 K) = -0.113 eV per atom
magnetic moment = 0.001 μB/cell
calculated volume = 84 Å³/cell

Cell: 3.310 4.181 6.064 Å, 90.00 90.00 90.00°
Sites, in units of the cell vectors:
Sc1 0.000 0.000 0.000
Sc2 0.500 0.500 0.291
Tl1 0.000 0.000 0.536
Ru1 0.500 0.500 0.870

=====

Material: ScTlRu3
Method: DFT, PBE-GGA
State: optimized geometry

Values from the calculation:
ΔH_f (0 K) = 1.784 eV per atom
excess energy over the best structure of this formula in the dataset = 0.434 eV per atom
magnetic moment = 3.925 μB/cell
calculated volume = 120 Å³/cell

Cell: 4.926 4.926 4.926 Å, 90.00 90.00 90.00°
Sites, in units of the cell vectors:
Sc1 0.000 0.000 0.000
Tl1 0.500 0.500 0.500
Ru1 0.000 0.500 0.500
Ru2 0.500 0.000 0.500
Ru3 0.500 0.500 0.000

=====

Material: Sc8Tl2Ru
Method: DFT, PBE-GGA
State: optimized geometry

Values from the calculation:
ΔH_f (0 K) = -0.262 eV per atom
magnetic moment = 2.233 μB/cell
calculated volume = 249 Å³/cell

Cell: 8.464 8.464 6.595 Å, 112.20 112.20 35.05°
Sites, in units of the cell vectors:
Sc1 0.004 0.004 0.262
Sc2 0.185 0.185 0.706
Sc3 0.366 0.366 0.613
Sc4 0.381 0.381 0.105
Sc5 0.619 0.619 0.895
Sc6 0.634 0.634 0.387
Sc7 0.815 0.815 0.294
Sc8 0.996 0.996 0.738
Tl1 0.186 0.186 0.186
Tl2 0.814 0.814 0.814
Ru1 0.500 0.500 0.500

=====

Material: Sc2TlRu
Method: DFT, PBE-GGA
State: optimized geometry

Values from the calculation:
ΔH_f (0 K) = -0.102 eV per atom
magnetic moment = 1.128 μB/cell
calculated volume = 81 Å³/cell

Cell: 3.416 3.416 6.963 Å, 90.00 90.00 90.00°
Sites, in units of the cell vectors:
Sc1 0.000 0.000 0.000
Sc2 0.500 0.500 0.300
Tl1 0.000 0.000 0.569
Ru1 0.500 0.500 0.814

=====

Material: Sc2TlRu
Method: DFT, PBE-GGA
State: optimized geometry

Values from the calculation:
ΔH_f (0 K) = -0.239 eV per atom
magnetic moment = 0.000 μB/cell
calculated volume = 82 Å³/cell

Cell: 3.378 4.484 5.644 Å, 90.00 106.27 90.00°
Sites, in units of the cell vectors:
Sc1 0.000 0.000 0.000
Sc2 0.306 0.500 0.651
Tl1 0.596 0.500 0.202
Ru1 0.744 0.000 0.539

=====

Material: ScTl2RuW
Method: DFT, PBE-GGA
State: optimized geometry

Values from the calculation:
ΔH_f (0 K) = 1.879 eV per atom
magnetic moment = 0.000 μB/cell
calculated volume = 122 Å³/cell

Cell: 5.298 5.298 4.354 Å, 90.00 90.00 90.00°
Sites, in units of the cell vectors:
Sc1 0.000 0.000 0.000
Tl1 0.000 0.500 0.000
Tl2 0.500 0.000 0.000
Ru1 0.000 0.000 0.500
W1 0.500 0.500 0.500

=====

Material: YSc2TlRu
Method: DFT, PBE-GGA
State: optimized geometry

Values from the calculation:
ΔH_f (0 K) = -0.147 eV per atom
magnetic moment = 0.000 μB/cell
calculated volume = 134 Å³/cell

Cell: 4.986 4.986 5.374 Å, 90.00 90.00 90.00°
Sites, in units of the cell vectors:
Y1 0.000 0.000 0.000
Sc1 0.000 0.500 0.500
Sc2 0.500 0.000 0.500
Tl1 0.500 0.500 0.000
Ru1 0.000 0.000 0.500

=====

Material: Y2ScTlRu
Method: DFT, PBE-GGA
State: optimized geometry

Values from the calculation:
ΔH_f (0 K) = -0.155 eV per atom
magnetic moment = 0.000 μB/cell
calculated volume = 142 Å³/cell

Cell: 5.366 5.366 4.949 Å, 90.00 90.00 90.00°
Sites, in units of the cell vectors:
Y1 0.000 0.500 0.000
Y2 0.500 0.000 0.000
Sc1 0.000 0.000 0.500
Tl1 0.500 0.500 0.500
Ru1 0.000 0.000 0.000

=====

Material: ZrSc2TlRu
Method: DFT, PBE-GGA
State: optimized geometry

Values from the calculation:
ΔH_f (0 K) = -0.010 eV per atom
magnetic moment = 0.000 μB/cell
calculated volume = 125 Å³/cell

Cell: 4.984 4.984 5.047 Å, 90.00 90.00 90.00°
Sites, in units of the cell vectors:
Zr1 0.000 0.000 0.000
Sc1 0.000 0.500 0.500
Sc2 0.500 0.000 0.500
Tl1 0.500 0.500 0.000
Ru1 0.000 0.000 0.500

=====

Material: TmSc4Ru5
Method: DFT, PBE-GGA
State: optimized geometry

Values from the calculation:
ΔH_f (0 K) = -0.506 eV per atom
magnetic moment = 0.000 μB/cell
calculated volume = 170 Å³/cell

Cell: 3.242 3.242 16.186 Å, 90.00 90.00 90.00°
Sites, in units of the cell vectors:
Tm1 0.000 0.000 0.000
Sc1 0.000 0.000 0.205
Sc2 0.000 0.000 0.402
Sc3 0.000 0.000 0.598
Sc4 0.000 0.000 0.795
Ru1 0.500 0.500 0.107
Ru2 0.500 0.500 0.303
Ru3 0.500 0.500 0.500
Ru4 0.500 0.500 0.697
Ru5 0.500 0.500 0.893

=====

Material: TmSc2Ru
Method: DFT, PBE-GGA
State: optimized geometry

Values from the calculation:
ΔH_f (0 K) = -0.312 eV per atom
excess energy over the best structure of this formula in the dataset = 0.053 eV per atom
magnetic moment = 0.000 μB/cell
calculated volume = 88 Å³/cell

Cell: 3.264 3.264 8.290 Å, 90.00 90.00 90.00°
Sites, in units of the cell vectors:
Tm1 0.000 0.000 0.000
Sc1 0.500 0.500 0.316
Sc2 0.500 0.500 0.684
Ru1 0.000 0.000 0.500